Crystalline K2TbO3 at its relaxed geometry. Source: Alexandria, functional GGA-PBEsol.

Cell: 6.200 10.764 12.501 Å, 90.00 99.89 90.00°
Space group C2/c (No. 15)
Asymmetric unit:
K1 0.000 0.087 0.250 x4
K2 0.234 0.078 0.000 x8
K3 0.250 0.250 0.500 x4
Tb1 0.000 0.247 0.750 x4
Tb2 0.000 0.420 0.250 x4
O1 0.077 0.414 0.651 x8
O2 0.159 0.107 0.651 x8
O3 0.159 0.280 0.150 x8

Crystal system: monoclinic
D(E_F) (states/eV/f.u.): 5.1
Total energy (Ry/atom): -0.43407
Formation energy from raw total energies (eV per atom): -2.068
M_tot (μB/atom): 0.168

Crystalline MnHgSCl2 at its relaxed geometry. Source: Alexandria, functional GGA-PBEsol.

Cell: 5.035 5.035 5.048 Å, 90.00 90.00 90.00°
Space group P4/mmm (No. 123)
Asymmetric unit:
Mn1 0.000 0.000 0.000 x1
Hg1 0.500 0.500 0.500 x1
S1 0.500 0.500 0.000 x1
Cl1 0.000 0.500 0.500 x2

Crystal system: tetragonal
D(E_F) (states/eV/f.u.): 1.7
Total energy (Ry/atom): -0.24769
Formation energy from raw total energies (eV per atom): 0.376
M_tot (μB/atom): 1.057

Crystalline CaFeAs2 at its relaxed geometry. Source: Alexandria, functional GGA-PBEsol.

Cell: 3.756 4.218 4.556 Å, 90.00 90.00 90.00°
Space group Pmmm (No. 47)
Asymmetric unit:
Ca1 0.000 0.000 0.000 x1
Fe1 0.000 0.500 0.500 x1
As1 0.500 0.000 0.500 x1
As2 0.500 0.500 0.000 x1

Crystal system: orthorhombic
D(E_F) (states/eV/f.u.): 3.6
Total energy (Ry/atom): -0.39873
Formation enthalpy at 0 K (eV/atom): -0.0976
M_tot (μB/atom): 0.733

Crystalline Sb2MoRh at its relaxed geometry. Source: Alexandria, functional GGA-PBEsol.

Cell: 3.0352 3.0352 30.7356 Å, 90.00 90.00 120.00°
Space group R3m (No. 160, hexagonal axes)
Asymmetric unit:
Sb1 0.0000 0.0000 0.0000 x3
Sb2 0.0000 0.0000 0.2093 x3
Mo1 0.0000 0.0000 0.4687 x3
Rh1 0.0000 0.0000 0.7370 x3

Crystal system: trigonal
D(E_F) (states/eV/f.u.): 2.8
Total energy (Ry/atom): -0.51962
Formation energy from raw total energies (eV per atom): 0.185
M_tot (μB/atom): 0.000

Crystalline CdCu2Mo at its relaxed geometry. Source: Alexandria, functional GGA-PBEsol.

Cell: 2.7233 2.7233 27.0261 Å, 90.00 90.00 120.00°
Space group R3m (No. 160, hexagonal axes)
Asymmetric unit:
Cd1 0.0000 0.0000 0.0000 x3
Cu1 0.0000 0.0000 0.4916 x3
Cu2 0.0000 0.0000 0.7526 x3
Mo1 0.0000 0.0000 0.2382 x3

Crystal system: trigonal
D(E_F) (states/eV/f.u.): 2.2
Total energy (Ry/atom): -0.37416
Formation enthalpy at 0 K (eV/atom): 0.3176
M_tot (μB/atom): 0.000

Crystalline TaCd at its relaxed geometry. Source: Alexandria, functional GGA-PBEsol.

Cell: 6.697 6.697 6.697 Å, 90.00 90.00 90.00°
Space group Fd-3m (No. 227, origin choice 2)
Asymmetric unit:
Ta1 0.125 0.125 0.125 x8
Cd1 0.125 0.125 0.625 x8

Crystal system: cubic
D(E_F) (states/eV/f.u.): 3.2
Total energy (Ry/atom): -0.46186
Formation enthalpy at 0 K (eV/atom): 0.5901
M_tot (μB/atom): 0.002

Crystalline ReHg3Ge at its relaxed geometry. Source: Alexandria, functional GGA-PBEsol.

Cell: 5.145 5.145 5.145 Å, 90.00 90.00 90.00°
Space group Pm-3m (No. 221)
Asymmetric unit:
Re1 0.000 0.000 0.000 x1
Hg1 0.000 0.000 0.500 x3
Ge1 0.500 0.500 0.500 x1

Crystal system: cubic
D(E_F) (states/eV/f.u.): 3.6
Total energy (Ry/atom): -0.20478
Formation enthalpy at 0 K (eV/atom): 1.2081
M_tot (μB/atom): 0.000

Crystalline BeMoRh2I at its relaxed geometry. Source: Alexandria, functional GGA-PBEsol.

Cell: 4.695 4.695 4.840 Å, 90.00 90.00 90.00°
Space group P4/mmm (No. 123)
Asymmetric unit:
Be1 0.000 0.000 0.000 x1
Mo1 0.500 0.500 0.000 x1
Rh1 0.000 0.500 0.500 x2
I1 0.500 0.500 0.500 x1

Crystal system: tetragonal
D(E_F) (states/eV/f.u.): 4.5
Total energy (Ry/atom): -0.36074
Formation energy from raw total energies (eV per atom): 1.854
M_tot (μB/atom): 0.186